[1]
# PBE KPdSe2, optimized geometry
# Calculated volume (Å³ per cell): 348
# VASP energy (eV/atom): -3.348
# Density of states at the Fermi level (states/eV/cell): 21.7
data_KPdSe2
_cell_length_a 7.033
_cell_length_b 7.033
_cell_length_c 7.033
_cell_angle_alpha 90.00
_cell_angle_beta 90.00
_cell_angle_gamma 90.00
_space_group_name_H-M_alt 'F m -3 m'
_space_group_IT_number 225
_space_group_name_Hall '-F 4 2 3'
loop_
_atom_site_label
_atom_site_type_symbol
_atom_site_fract_x
_atom_site_fract_y
_atom_site_fract_z
K1 K 0.000 0.000 0.000
Pd1 Pd 0.000 0.000 0.500
Se1 Se 0.250 0.250 0.250

[2]
# PBE LaZn2W, optimized geometry
# Calculated volume (Å³ per cell): 75
# VASP energy (eV/atom): -4.863
# Density of states at the Fermi level (states/eV/cell): 1.8
# Energy above the lowest structure with this stoichiometry (meV per atom): 0
data_LaZn2W
_cell_length_a 2.923
_cell_length_b 2.923
_cell_length_c 8.735
_cell_angle_alpha 90.00
_cell_angle_beta 90.00
_cell_angle_gamma 90.00
_space_group_name_H-M_alt 'P 4/m m m'
_space_group_IT_number 123
_space_group_name_Hall '-P 4 2'
loop_
_atom_site_label
_atom_site_type_symbol
_atom_site_fract_x
_atom_site_fract_y
_atom_site_fract_z
La1 La 0.000 0.000 0.000
Zn1 Zn 0.500 0.500 0.285
W1 W 0.000 0.000 0.500

[3]
# PBE K3Na6Sn2, optimized geometry
# Calculated volume (Å³ per cell): 896
# VASP energy (eV/atom): -1.805
# Density of states at the Fermi level (states/eV/cell): 11.0
data_K3Na6Sn2
_cell_length_a 24.255
_cell_length_b 5.966
_cell_length_c 6.199
_cell_angle_alpha 90.00
_cell_angle_beta 92.09
_cell_angle_gamma 90.00
_space_group_name_H-M_alt 'C 1 2/m 1'
_space_group_IT_number 12
loop_
_space_group_symop_operation_xyz
'x,y,z'
'-x,-y,-z'
'-x,y,-z'
'x,-y,z'
'x+1/2,y+1/2,z'
'-x+1/2,-y+1/2,-z'
'-x+1/2,y+1/2,-z'
'x+1/2,-y+1/2,z'
loop_
_atom_site_label
_atom_site_type_symbol
_atom_site_fract_x
_atom_site_fract_y
_atom_site_fract_z
K1 K 0.000 0.000 0.000
K2 K 0.190 0.000 0.017
Na1 Na 0.079 0.500 0.879
Na2 Na 0.092 0.000 0.490
Na3 Na 0.189 0.500 0.483
Sn1 Sn 0.053 0.500 0.378

[4]
# PBE UV3Ge2, optimized geometry
# Calculated volume (Å³ per cell): 397
# VASP energy (eV/atom): -8.162
# Density of states at the Fermi level (states/eV/cell): 33.0
data_UV3Ge2
_cell_length_a 16.819
_cell_length_b 3.299
_cell_length_c 7.925
_cell_angle_alpha 90.00
_cell_angle_beta 115.33
_cell_angle_gamma 90.00
_space_group_name_H-M_alt 'C 1 2/m 1'
_space_group_IT_number 12
loop_
_space_group_symop_operation_xyz
'x,y,z'
'-x,-y,-z'
'-x,y,-z'
'x,-y,z'
'x+1/2,y+1/2,z'
'-x+1/2,-y+1/2,-z'
'-x+1/2,y+1/2,-z'
'x+1/2,-y+1/2,z'
loop_
_atom_site_label
_atom_site_type_symbol
_atom_site_fract_x
_atom_site_fract_y
_atom_site_fract_z
U1 U 0.143 0.000 0.040
V1 V 0.057 0.000 0.417
V2 V 0.084 0.500 0.685
V3 V 0.185 0.500 0.440
Ge1 Ge 0.026 0.500 0.168
Ge2 Ge 0.205 0.000 0.714

[5]
# PBE Cr4As, optimized geometry
# Calculated volume (Å³ per cell): 156
# VASP energy (eV/atom): -7.475
# Density of states at the Fermi level (states/eV/cell): 17.7
# Energy above the lowest structure with this stoichiometry (meV per atom): 0
data_Cr4As
_cell_length_a 5.380
_cell_length_b 5.380
_cell_length_c 5.380
_cell_angle_alpha 90.00
_cell_angle_beta 90.00
_cell_angle_gamma 90.00
_space_group_name_H-M_alt 'I m -3 m'
_space_group_IT_number 229
_space_group_name_Hall '-I 4 2 3'
loop_
_atom_site_label
_atom_site_type_symbol
_atom_site_fract_x
_atom_site_fract_y
_atom_site_fract_z
Cr1 Cr 0.250 0.250 0.250
As1 As 0.000 0.000 0.000

[6]
# PBE BaMo5, optimized geometry
# Calculated volume (Å³ per cell): 117
# VASP energy (eV/atom): -8.845
# Density of states at the Fermi level (states/eV/cell): 7.2
# Energy above the lowest structure with this stoichiometry (meV per atom): 0
data_BaMo5
_cell_length_a 3.199
_cell_length_b 3.199
_cell_length_c 11.393
_cell_angle_alpha 90.00
_cell_angle_beta 90.00
_cell_angle_gamma 90.00
_space_group_name_H-M_alt 'P 4/m m m'
_space_group_IT_number 123
_space_group_name_Hall '-P 4 2'
loop_
_atom_site_label
_atom_site_type_symbol
_atom_site_fract_x
_atom_site_fract_y
_atom_site_fract_z
Ba1 Ba 0.000 0.000 0.000
Mo1 Mo 0.000 0.000 0.360
Mo2 Mo 0.500 0.500 0.235
Mo3 Mo 0.500 0.500 0.500

[7]
# PBE Ce2Th2Au2C, optimized geometry
# Calculated volume (Å³ per cell): 355
# VASP energy (eV/atom): -6.506
# Density of states at the Fermi level (states/eV/cell): 22.2
data_Ce2Th2Au2C
_cell_length_a 14.214
_cell_length_b 3.804
_cell_length_c 7.145
_cell_angle_alpha 90.00
_cell_angle_beta 113.07
_cell_angle_gamma 90.00
_space_group_name_H-M_alt 'C 1 2/m 1'
_space_group_IT_number 12
loop_
_space_group_symop_operation_xyz
'x,y,z'
'-x,-y,-z'
'-x,y,-z'
'x,-y,z'
'x+1/2,y+1/2,z'
'-x+1/2,-y+1/2,-z'
'-x+1/2,y+1/2,-z'
'x+1/2,-y+1/2,z'
loop_
_atom_site_label
_atom_site_type_symbol
_atom_site_fract_x
_atom_site_fract_y
_atom_site_fract_z
Ce1 Ce 0.191 0.000 0.184
Th1 Th 0.017 0.500 0.775
Au1 Au 0.134 0.000 0.579
C1 C 0.000 0.000 0.000

[8]
# PBE Y2Ho5Sc12, optimized geometry
# Calculated volume (Å³ per cell): 1045
# VASP energy (eV/atom): -5.744
# Density of states at the Fermi level (states/eV/cell): 61.7
data_Y2Ho5Sc12
_cell_length_a 14.928
_cell_length_b 8.607
_cell_length_c 8.141
_cell_angle_alpha 90.00
_cell_angle_beta 92.28
_cell_angle_gamma 90.00
_space_group_name_H-M_alt 'C 1 2/m 1'
_space_group_IT_number 12
loop_
_space_group_symop_operation_xyz
'x,y,z'
'-x,-y,-z'
'-x,y,-z'
'x,-y,z'
'x+1/2,y+1/2,z'
'-x+1/2,-y+1/2,-z'
'-x+1/2,y+1/2,-z'
'x+1/2,-y+1/2,z'
loop_
_atom_site_label
_atom_site_type_symbol
_atom_site_fract_x
_atom_site_fract_y
_atom_site_fract_z
Y1 Y 0.000 0.186 0.000
Ho1 Ho 0.000 0.500 0.500
Ho2 Ho 0.205 0.000 0.006
Ho3 Ho 0.236 0.500 0.577
Sc1 Sc 0.053 0.000 0.337
Sc2 Sc 0.087 0.500 0.880
Sc3 Sc 0.128 0.189 0.658
Sc4 Sc 0.153 0.322 0.250